# 1
Ti2MnHIr: optimized geometry, PBE-GGA.

abc: 4.225 4.225 3.312
angles: 90.00 90.00 90.00
Space group P4/mmm (No. 123)
One atom of each set of equivalent atoms:
Ti: 0.000 0.500 0.000 x2
Mn: 0.000 0.000 0.500 x1
H: 0.000 0.000 0.000 x1
Ir: 0.500 0.500 0.500 x1

Properties
The value obtained for the energy is -0.292 hartree per atom.

# 2
TiMn2HIr: optimized geometry, PBE-GGA.

abc: 3.758 3.758 3.964
angles: 90.00 90.00 90.00
Space group P4/mmm (No. 123)
One atom of each set of equivalent atoms:
Ti: 0.000 0.000 0.000 x1
Mn: 0.000 0.500 0.500 x2
H: 0.500 0.500 0.500 x1
Ir: 0.500 0.500 0.000 x1

Properties
The calculation puts the relative energy among the computed polymorphs at 0.0738 eV per atom.

# 3
YMnHIr2: optimized geometry, PBE-GGA.

abc: 4.640 4.640 3.648
angles: 90.00 90.00 90.00
Space group P4/mmm (No. 123)
One atom of each set of equivalent atoms:
Y: 0.000 0.000 0.000 x1
Mn: 0.500 0.500 0.500 x1
H: 0.500 0.500 0.000 x1
Ir: 0.000 0.500 0.500 x2

Properties
The value obtained for the energy is -0.262 hartree per atom.

Question: Which formula does entry 2 have?
Answer: TiMn2HIr